The following is a GGA-PBE calculation of an optimized crystal structure of KLaTi2Cu, from Alexandria.

Cell: 4.898 5.104 4.898 Å, 90.00 90.00 90.00°
Site moments in Bohr magnetons follow the coordinates.
Positions (direct):
K 0.000 0.000 0.000  0.06
Ti 0.000 0.000 0.500  0.61
Ti 0.500 0.000 0.000  0.40
Cu 0.000 0.500 0.000  -0.01
La 0.500 0.500 0.500  0.02

Calculated values
formation enthalpy at 0 K = 1.5204 eV/atom
calculated total energy = -18.31 eV for the cell shown

The following is a GGA-PBE calculation of an optimized crystal structure of KLaYCu2, from Alexandria.

Cell: 5.152 5.560 5.152 Å, 90.00 90.00 90.00°
Positions (direct):
Y 0.000 0.000 0.000
K 0.000 0.500 0.000
Cu 0.000 0.000 0.500
Cu 0.500 0.000 0.000
La 0.500 0.500 0.500

Calculated values
formation enthalpy at 0 K = 0.8180 eV/atom
calculated total energy = -16.59 eV for the cell shown

The following is a GGA-PBE calculation of an optimized crystal structure of K2LiCu, from Alexandria.

Cell: 9.354 5.815 4.339 Å, 90.00 62.37 129.14°
Positions (direct):
Cu 0.500 0.500 0.000
K 0.000 0.000 0.000
K 0.500 0.000 0.500
Li 0.000 0.500 0.500

Calculated values
E above lowest polymorph = 0.597 eV per formula unit
formation enthalpy at 0 K = 0.3572 eV/atom
calculated total energy = -6.78 eV for the cell shown

The following is a GGA-PBE calculation of an optimized crystal structure of K2LiCu, from Alexandria.

Cell: 6.915 6.915 5.866 Å, 64.71 64.71 35.53°
Positions (direct):
Cu 0.799 0.799 0.699
K 0.040 0.040 0.961
K 0.239 0.239 0.261
Li 0.422 0.422 0.579

Calculated values
E above lowest polymorph = 0.227 eV per formula unit
formation enthalpy at 0 K = 0.2646 eV/atom
calculated total energy = -7.15 eV for the cell shown